CrCo2 | PBE | optimized geometry

Output
Volume   130 Å³ per cell
Magnetization   1.2 μB/f.u.
E_tot   -7.870 eV per atom
D(E_F)   3.98 states/eV/f.u.
Energy relative to the elements   0.224 eV/f.u.
Crystal system   monoclinic
Space-group type   C2/m

Cell: 9.1483 2.4773 5.9112 Å, 90.00 104.46 90.00°
Sites, in units of the cell vectors:
Cr 0.1907 0.0000 0.1441
Cr 0.3093 0.5000 0.8559
Cr 0.6907 0.5000 0.1441
Cr 0.8093 0.0000 0.8559
Co 0.0294 0.5000 0.8061
Co 0.1385 0.0000 0.5293
Co 0.3615 0.5000 0.4707
Co 0.4706 0.0000 0.1939
Co 0.5294 0.0000 0.8061
Co 0.6385 0.5000 0.5293
Co 0.8615 0.0000 0.4707
Co 0.9706 0.5000 0.1939